A relaxed structure of PuZnPdO6. Source: Alexandria via LeMat-Bulk, functional PBE-GGA.

abc: 5.240 5.240 9.261
angles: 90.00 90.00 120.00
Fractional coordinates of all 18 atoms:
1 Pu 0.333 0.667 0.250
2 Pu 0.667 0.333 0.750
3 Zn 0.000 0.000 0.000
4 Zn 0.000 0.000 0.500
5 Pd 0.333 0.667 0.750
6 Pd 0.667 0.333 0.250
7 O 0.000 0.340 0.129
8 O 0.000 0.340 0.629
9 O 0.000 0.660 0.371
10 O 0.000 0.660 0.871
11 O 0.340 0.000 0.129
12 O 0.340 0.000 0.629
13 O 0.340 0.340 0.371
14 O 0.340 0.340 0.871
15 O 0.660 0.000 0.371
16 O 0.660 0.000 0.871
17 O 0.660 0.660 0.129
18 O 0.660 0.660 0.629

Properties
**Spin magnetization**: 4.00 Bohr magnetons per cell
**SG**: No. 163
**Total DFT energy (no corrections)**: -7.074 eV per atom
**N(E_F)**: 0.646 states/eV/atom
**Theoretical density**: 7.72 Mg/m³
**ΔE_f (raw)**: -1266 kJ/mol of formula units